# Na5Mn11O24 PBE with a Hubbard U relaxed
data_Na5Mn11O24
_cell_length_a 10.998
_cell_length_b 5.940
_cell_length_c 14.726
_cell_angle_alpha 90.00
_cell_angle_beta 92.76
_cell_angle_gamma 90.00
_symmetry_space_group_name_H-M 'C 1 m 1'
_symmetry_Int_Tables_number 8
loop_
_symmetry_equiv_pos_as_xyz
'x,y,z'
'x,-y,z'
'x+1/2,y+1/2,z'
'x+1/2,-y+1/2,z'
loop_
_atom_site_label
_atom_site_type_symbol
_atom_site_fract_x
_atom_site_fract_y
_atom_site_fract_z
Na1 Na 0.000 0.000 0.000
Na2 Na 0.013 0.000 0.759
Na3 Na 0.148 0.500 0.080
Na4 Na 0.339 0.000 0.427
Na5 Na 0.364 0.000 0.680
Mn1 Mn 0.006 0.000 0.377
Mn2 Mn 0.104 0.251 0.542
Mn3 Mn 0.161 0.000 0.218
Mn4 Mn 0.194 0.500 0.711
Mn5 Mn 0.256 0.250 0.879
Mn6 Mn 0.318 0.000 0.048
Mn7 Mn 0.351 0.500 0.541
Mn8 Mn 0.409 0.251 0.216
O1 O 0.041 0.000 0.610
O2 O 0.053 0.500 0.620
O3 O 0.063 0.216 0.290
O4 O 0.140 0.271 0.779
O5 O 0.150 0.000 0.463
O6 O 0.161 0.500 0.472
O7 O 0.182 0.500 0.935
O8 O 0.185 0.000 0.951
O9 O 0.253 0.215 0.144
O10 O 0.260 0.283 0.612
O11 O 0.327 0.500 0.807
O12 O 0.330 0.000 0.825
O13 O 0.348 0.000 0.283
O14 O 0.361 0.500 0.296
O15 O 0.373 0.229 0.979
O16 O 0.449 0.286 0.469
O17 O 0.459 0.000 0.138
O18 O 0.472 0.500 0.148
# ρ = 3.81 g cm⁻³
# uncorrected energy = -528.9 eV per cell
# size of the total moment = 68.00 Bohr magnetons per cell
# volume = 960.95 Å³/cell